(1)
Computed, not measured: ThSiSe after structural relaxation at the PBE level of DFT.

Cell: 4.1674 4.1674 33.6124 Å, 90.00 90.00 120.00°
Last column: nearest neighbours and their distance in Å.
Space group R-3m (No. 166, hexagonal axes)
Inequivalent atoms, fractional coordinates:
Th (0.0000, 0.0000, 0.0622)  3 Se 2.92, 6 Si 3.12-3.26
Si (0.0000, 0.0000, 0.3364)  3 Si 2.42
Se (0.0000, 0.0000, 0.2219)  3 Th 2.92

Calculated values
- electronic total energy (eV per atom) = -6.5742
- DOS at the Fermi energy (states/eV per cell) = 3.056
- ΔE_f (raw) (eV per atom) = -1.132

***

(2)
Computed, not measured: ThSiSe after structural relaxation at the PBE level of DFT.

Cell: 4.0039 4.0039 17.7130 Å, 90.00 90.00 90.00°
Last column: nearest neighbours and their distance in Å.
Space group I4/mmm (No. 139)
Inequivalent atoms, fractional coordinates:
Th (0.0000, 0.0000, 0.1304)  5 Se 3.01-3.21, 4 Si 3.06
Si (0.0000, 0.5000, 0.0000)  4 Si 2.83, 4 Th 3.06
Se (0.0000, 0.0000, 0.3115)  5 Th 3.01-3.21

Calculated values
- electronic total energy (eV per atom) = -6.6404
- DOS at the Fermi energy (states/eV per cell) = 2.073
- ΔE_f (raw) (eV per atom) = -1.198